AcTm: relaxed, PBE-GGA.

The structure in extended XYZ format:
```
2
Lattice="-3.266 -3.637 0.113 -3.162 -0.332 3.714 -4.740 0.947 -0.733" Properties=species:S:1:pos:R:3 pbc="T T T"
Ac 0.000 0.000 0.000
Tm -5.584 -1.511 1.547
```

Results
Crystal system ... cubic
Energy above the lowest structure with this stoichiometry ... 663 meV/atom
Calculated total energy ... -3.503 eV/atom